[1]
## Cd2InAgTe4 (PBE)

Data for a geometry-optimized Cd2InAgTe4 structure.

Lattice parameters (Å, degrees): 6.594 6.594 13.076 90.00 90.00 90.00
Space group I-42m (No. 121)
Unique sites:
Cd: 0.000 0.500 0.250 [4 per cell]
In: 0.000 0.000 0.000 [2 per cell]
Ag: 0.000 0.000 0.500 [2 per cell]
Te: 0.248 0.248 0.377 [8 per cell]

Values from the calculation:
Its raw formation energy is -0.372 eV per atom. For the volume, the calculation gives 35.54 A^3/atom.

***

[2]
## Cd2In3Ag3Te8 (PBE)

Data for a geometry-optimized Cd2In3Ag3Te8 structure.

Lattice parameters (Å, degrees): 6.578 6.578 13.028 90.00 90.00 90.00
Space group P-4 (No. 81)
Unique sites:
Cd: 0.000 0.000 0.000 [1 per cell]
Cd: 0.500 0.500 0.000 [1 per cell]
In: 0.000 0.000 0.500 [1 per cell]
In: 0.000 0.500 0.748 [2 per cell]
Ag: 0.000 0.500 0.252 [2 per cell]
Ag: 0.500 0.500 0.500 [1 per cell]
Te: 0.249 0.253 0.128 [4 per cell]
Te: 0.251 0.744 0.376 [4 per cell]

Values from the calculation:
Its raw formation energy is -0.328 eV per atom. For the volume, the calculation gives 35.23 A^3/atom.